Record 1
{
  "formula": "Pu4ThIn15",
  "functional": "GGA-PBE",
  "state": "relaxed",
  "dos_at_fermi_per_ev_atom": 2.62,
  "space_group": "P4/mmm",
  "formation_enthalpy_0k_ev_per_atom": -0.0110,
  "magnetic_moment_mub_per_fu": 10.9,
  "lattice_angstrom": [[4.644, 0.000, 0.000], [0.000, 4.644, 0.000], [0.000, 0.000, 23.369]],
  "species": ["Pu", "Pu", "Pu", "Pu", "Th", "In", "In", "In", "In", "In", "In", "In", "In", "In", "In", "In", "In", "In", "In", "In"],
  "fractional_positions": [[0.000, 0.000, 0.099], [0.000, 0.000, 0.298], [0.000, 0.000, 0.702], [0.000, 0.000, 0.901], [0.000, 0.000, 0.500], [0.000, 0.500, 0.000], [0.000, 0.500, 0.197], [0.000, 0.500, 0.396], [0.000, 0.500, 0.604], [0.000, 0.500, 0.803], [0.500, 0.000, 0.000], [0.500, 0.000, 0.197], [0.500, 0.000, 0.396], [0.500, 0.000, 0.604], [0.500, 0.000, 0.803], [0.500, 0.500, 0.098], [0.500, 0.500, 0.296], [0.500, 0.500, 0.500], [0.500, 0.500, 0.704], [0.500, 0.500, 0.902]]
}



Record 2
{
  "formula": "Pu2Th4In3",
  "functional": "GGA-PBE",
  "state": "relaxed",
  "dos_at_fermi_per_ev_atom": 1.84,
  "space_group": "P-1",
  "formation_enthalpy_0k_ev_per_atom": -0.0864,
  "magnetic_moment_mub_per_fu": 11.4,
  "lattice_angstrom": [[6.296, 0.000, 0.000], [-2.089, 8.644, 0.000], [-1.672, -3.641, 9.523]],
  "species": ["Pu", "Pu", "Pu", "Pu", "Th", "Th", "Th", "Th", "Th", "Th", "Th", "Th", "In", "In", "In", "In", "In", "In"],
  "fractional_positions": [[0.077, 0.390, 0.389], [0.295, 0.864, 0.869], [0.705, 0.136, 0.131], [0.923, 0.610, 0.611], [0.007, 0.685, 0.290], [0.182, 0.042, 0.155], [0.464, 0.209, 0.480], [0.492, 0.722, 0.096], [0.508, 0.278, 0.904], [0.536, 0.791, 0.520], [0.818, 0.958, 0.845], [0.993, 0.315, 0.710], [0.085, 0.363, 0.048], [0.146, 0.973, 0.614], [0.468, 0.557, 0.726], [0.532, 0.443, 0.274], [0.854, 0.027, 0.386], [0.915, 0.637, 0.952]]
}



Record 3
{
  "formula": "PuTh6In5",
  "functional": "GGA-PBE",
  "state": "relaxed",
  "dos_at_fermi_per_ev_atom": 1.28,
  "space_group": "P2/m",
  "formation_enthalpy_0k_ev_per_atom": -0.2163,
  "magnetic_moment_mub_per_fu": 6.3,
  "lattice_angstrom": [[5.781, 0.000, 0.000], [0.000, 7.059, 0.000], [-0.839, 0.000, 8.433]],
  "species": ["Pu", "Th", "Th", "Th", "Th", "Th", "Th", "In", "In", "In", "In", "In"],
  "fractional_positions": [[0.000, 0.000, 0.000], [0.147, 0.249, 0.329], [0.147, 0.751, 0.329], [0.500, 0.251, 0.000], [0.500, 0.749, 0.000], [0.853, 0.249, 0.671], [0.853, 0.751, 0.671], [0.000, 0.500, 0.000], [0.345, 0.000, 0.664], [0.351, 0.500, 0.655], [0.649, 0.500, 0.345], [0.655, 0.000, 0.336]]
}



Record 4
{
  "formula": "Pu2ThIn9",
  "functional": "GGA-PBE",
  "state": "relaxed",
  "dos_at_fermi_per_ev_atom": 2.24,
  "space_group": "P4/mmm",
  "formation_enthalpy_0k_ev_per_atom": -0.2669,
  "magnetic_moment_mub_per_fu": 11.3,
  "lattice_angstrom": [[4.687, 0.000, 0.000], [0.000, 4.687, 0.000], [0.000, 0.000, 14.054]],
  "species": ["Pu", "Pu", "Th", "In", "In", "In", "In", "In", "In", "In", "In", "In"],
  "fractional_positions": [[0.000, 0.000, 0.165], [0.000, 0.000, 0.835], [0.000, 0.000, 0.500], [0.000, 0.500, 0.000], [0.000, 0.500, 0.328], [0.000, 0.500, 0.672], [0.500, 0.000, 0.000], [0.500, 0.000, 0.328], [0.500, 0.000, 0.672], [0.500, 0.500, 0.164], [0.500, 0.500, 0.500], [0.500, 0.500, 0.836]]
}



Record 5
{
  "formula": "PuTh2In2",
  "functional": "GGA-PBE",
  "state": "relaxed",
  "dos_at_fermi_per_ev_atom": 1.45,
  "space_group": "P6_3/mmc",
  "formation_enthalpy_0k_ev_per_atom": -0.0819,
  "magnetic_moment_mub_per_fu": 7.0,
  "lattice_angstrom": [[5.284, 0.000, 0.000], [-2.642, 4.576, 0.000], [0.000, 0.000, 11.768]],
  "species": ["Pu", "Pu", "Th", "Th", "Th", "Th", "In", "In", "In", "In"],
  "fractional_positions": [[0.000, 0.000, 0.250], [0.000, 0.000, 0.750], [0.000, 0.000, 0.000], [0.000, 0.000, 0.500], [0.333, 0.667, 0.250], [0.667, 0.333, 0.750], [0.333, 0.667, 0.621], [0.333, 0.667, 0.879], [0.667, 0.333, 0.121], [0.667, 0.333, 0.379]]
}



Record 6
{
  "formula": "PuThIn2",
  "functional": "GGA-PBE",
  "state": "relaxed",
  "relative_energy_mev_per_atom": 389,
  "dos_at_fermi_per_ev_atom": 2.25,
  "space_group": "R3m",
  "formation_enthalpy_0k_ev_per_atom": 0.1757,
  "magnetic_moment_mub_per_fu": 6.1,
  "lattice_angstrom": [[2.599, 1.501, 5.316], [-2.599, 1.501, 5.316], [0.000, -3.001, 5.316]],
  "species": ["Pu", "Th", "In", "In"],
  "fractional_positions": [[0.000, 0.000, 0.000], [0.183, 0.183, 0.183], [0.589, 0.589, 0.589], [0.775, 0.775, 0.775]]
}



Record 7
{
  "formula": "PuTh4In15",
  "functional": "GGA-PBE",
  "state": "relaxed",
  "dos_at_fermi_per_ev_atom": 1.05,
  "space_group": "P4/mmm",
  "formation_enthalpy_0k_ev_per_atom": -0.3250,
  "magnetic_moment_mub_per_fu": 6.0,
  "lattice_angstrom": [[4.715, 0.000, 0.000], [0.000, 4.715, 0.000], [0.000, 0.000, 23.724]],
  "species": ["Pu", "Th", "Th", "Th", "Th", "In", "In", "In", "In", "In", "In", "In", "In", "In", "In", "In", "In", "In", "In", "In"],
  "fractional_positions": [[0.000, 0.000, 0.000], [0.000, 0.000, 0.199], [0.000, 0.000, 0.399], [0.000, 0.000, 0.601], [0.000, 0.000, 0.801], [0.000, 0.500, 0.096], [0.000, 0.500, 0.299], [0.000, 0.500, 0.500], [0.000, 0.500, 0.701], [0.000, 0.500, 0.904], [0.500, 0.000, 0.096], [0.500, 0.000, 0.299], [0.500, 0.000, 0.500], [0.500, 0.000, 0.701], [0.500, 0.000, 0.904], [0.500, 0.500, 0.000], [0.500, 0.500, 0.197], [0.500, 0.500, 0.399], [0.500, 0.500, 0.601], [0.500, 0.500, 0.803]]
}



Record 8
{
  "formula": "PuThIn2",
  "functional": "GGA-PBE",
  "state": "relaxed",
  "relative_energy_mev_per_atom": 0,
  "dos_at_fermi_per_ev_atom": 2.91,
  "space_group": "P4/mmm",
  "formation_enthalpy_0k_ev_per_atom": -0.2128,
  "magnetic_moment_mub_per_fu": 6.4,
  "lattice_angstrom": [[4.786, 0.000, 0.000], [0.000, 4.786, 0.000], [0.000, 0.000, 4.754]],
  "species": ["Pu", "Th", "In", "In"],
  "fractional_positions": [[0.000, 0.000, 0.000], [0.500, 0.500, 0.000], [0.000, 0.500, 0.500], [0.500, 0.000, 0.500]]
}



Record 9
{
  "formula": "PuThTlIn",
  "functional": "GGA-PBE",
  "state": "relaxed",
  "relative_energy_mev_per_atom": 73,
  "dos_at_fermi_per_ev_atom": 2.79,
  "space_group": "F-43m",
  "formation_enthalpy_0k_ev_per_atom": -0.0643,
  "magnetic_moment_mub_per_fu": 6.1,
  "lattice_angstrom": [[0.000, 3.857, 3.857], [3.857, 0.000, 3.857], [3.857, 3.857, 0.000]],
  "species": ["Pu", "Th", "Tl", "In"],
  "fractional_positions": [[0.000, 0.000, 0.000], [0.500, 0.500, 0.500], [0.250, 0.250, 0.250], [0.750, 0.750, 0.750]]
}



Record 10
{
  "formula": "PuThTlIn",
  "functional": "GGA-PBE",
  "state": "relaxed",
  "relative_energy_mev_per_atom": 0,
  "dos_at_fermi_per_ev_atom": 2.84,
  "space_group": "Pmmm",
  "formation_enthalpy_0k_ev_per_atom": -0.1372,
  "magnetic_moment_mub_per_fu": 6.5,
  "lattice_angstrom": [[4.728, 0.000, 0.000], [0.000, 4.836, 0.000], [0.000, 0.000, 4.848]],
  "species": ["Pu", "Th", "Tl", "In"],
  "fractional_positions": [[0.000, 0.000, 0.000], [0.000, 0.500, 0.500], [0.500, 0.000, 0.500], [0.500, 0.500, 0.000]]
}



Record 11
{
  "formula": "TmPuThIn",
  "functional": "GGA-PBE",
  "state": "relaxed",
  "dos_at_fermi_per_ev_atom": 2.70,
  "space_group": "F-43m",
  "formation_enthalpy_0k_ev_per_atom": 0.0534,
  "magnetic_moment_mub_per_fu": 6.6,
  "lattice_angstrom": [[0.000, 3.807, 3.807], [3.807, 0.000, 3.807], [3.807, 3.807, 0.000]],
  "species": ["Tm", "Pu", "Th", "In"],
  "fractional_positions": [[0.000, 0.000, 0.000], [0.500, 0.500, 0.500], [0.750, 0.750, 0.750], [0.250, 0.250, 0.250]]
}



Record 12
{
  "formula": "PuThZnIn",
  "functional": "GGA-PBE",
  "state": "relaxed",
  "dos_at_fermi_per_ev_atom": 2.58,
  "space_group": "F-43m",
  "formation_enthalpy_0k_ev_per_atom": -0.0824,
  "magnetic_moment_mub_per_fu": 6.4,
  "lattice_angstrom": [[0.000, 3.748, 3.748], [3.748, 0.000, 3.748], [3.748, 3.748, 0.000]],
  "species": ["Pu", "Th", "Zn", "In"],
  "fractional_positions": [[0.000, 0.000, 0.000], [0.500, 0.500, 0.500], [0.250, 0.250, 0.250], [0.750, 0.750, 0.750]]
}



Record 13
{
  "formula": "PuTi2In",
  "functional": "GGA-PBE",
  "state": "relaxed",
  "relative_energy_mev_per_atom": 30,
  "dos_at_fermi_per_ev_atom": 1.89,
  "space_group": "Fm-3m",
  "formation_enthalpy_0k_ev_per_atom": 0.0084,
  "magnetic_moment_mub_per_fu": 7.1,
  "lattice_angstrom": [[0.000, 3.415, 3.415], [3.415, 0.000, 3.415], [3.415, 3.415, 0.000]],
  "species": ["Pu", "Ti", "Ti", "In"],
  "fractional_positions": [[0.000, 0.000, 0.000], [0.250, 0.250, 0.250], [0.750, 0.750, 0.750], [0.500, 0.500, 0.500]]
}



Record 14
{
  "formula": "PuTi2In",
  "functional": "GGA-PBE",
  "state": "relaxed",
  "relative_energy_mev_per_atom": 0,
  "dos_at_fermi_per_ev_atom": 1.30,
  "space_group": "P4/mmm",
  "formation_enthalpy_0k_ev_per_atom": -0.0216,
  "magnetic_moment_mub_per_fu": 5.3,
  "lattice_angstrom": [[4.944, 0.000, 0.000], [0.000, 4.944, 0.000], [0.000, 0.000, 3.179]],
  "species": ["Pu", "Ti", "Ti", "In"],
  "fractional_positions": [[0.000, 0.000, 0.000], [0.000, 0.500, 0.500], [0.500, 0.000, 0.500], [0.500, 0.500, 0.000]]
}



Record 15
{
  "formula": "PuTiIn",
  "functional": "GGA-PBE",
  "state": "relaxed",
  "relative_energy_mev_per_atom": 0,
  "dos_at_fermi_per_ev_atom": 2.30,
  "space_group": "P3m1",
  "formation_enthalpy_0k_ev_per_atom": 0.0917,
  "magnetic_moment_mub_per_fu": 5.0,
  "lattice_angstrom": [[5.031, 0.000, 0.000], [-2.515, 4.357, 0.000], [0.000, 0.000, 3.082]],
  "species": ["Pu", "Ti", "In"],
  "fractional_positions": [[0.000, 0.000, 0.000], [0.333, 0.667, 0.499], [0.667, 0.333, 0.501]]
}



Record 16
{
  "formula": "PuTiIn",
  "functional": "GGA-PBE",
  "state": "relaxed",
  "relative_energy_mev_per_atom": 9,
  "dos_at_fermi_per_ev_atom": 1.24,
  "space_group": "P2_1/c",
  "formation_enthalpy_0k_ev_per_atom": 0.1007,
  "magnetic_moment_mub_per_fu": 0.0,
  "lattice_angstrom": [[7.750, 0.000, 0.000], [0.000, 5.871, 0.000], [-1.601, 0.000, 4.999]],
  "species": ["Pu", "Pu", "Pu", "Pu", "Ti", "Ti", "Ti", "Ti", "In", "In", "In", "In"],
  "fractional_positions": [[0.039, 0.186, 0.064], [0.039, 0.314, 0.564], [0.961, 0.686, 0.436], [0.961, 0.814, 0.936], [0.325, 0.113, 0.322], [0.325, 0.387, 0.822], [0.675, 0.613, 0.178], [0.675, 0.887, 0.678], [0.330, 0.610, 0.317], [0.330, 0.890, 0.817], [0.670, 0.110, 0.183], [0.670, 0.390, 0.683]]
}



Record 17
{
  "formula": "PuTiIn2",
  "functional": "GGA-PBE",
  "state": "relaxed",
  "relative_energy_mev_per_atom": 172,
  "dos_at_fermi_per_ev_atom": 2.60,
  "space_group": "R-3m",
  "formation_enthalpy_0k_ev_per_atom": 0.0247,
  "magnetic_moment_mub_per_fu": 5.1,
  "lattice_angstrom": [[1.592, 0.919, 10.399], [-1.592, 0.919, 10.399], [0.000, -1.838, 10.399]],
  "species": ["Pu", "Ti", "In", "In"],
  "fractional_positions": [[0.000, 0.000, 0.000], [0.500, 0.500, 0.500], [0.243, 0.243, 0.243], [0.757, 0.757, 0.757]]
}



Record 18
{
  "formula": "PuTiIn2",
  "functional": "GGA-PBE",
  "state": "relaxed",
  "relative_energy_mev_per_atom": 108,
  "dos_at_fermi_per_ev_atom": 2.47,
  "space_group": "P4/mmm",
  "formation_enthalpy_0k_ev_per_atom": -0.0392,
  "magnetic_moment_mub_per_fu": 7.2,
  "lattice_angstrom": [[4.434, 0.000, 0.000], [0.000, 4.434, 0.000], [0.000, 0.000, 4.706]],
  "species": ["Pu", "Ti", "In", "In"],
  "fractional_positions": [[0.000, 0.000, 0.000], [0.500, 0.500, 0.000], [0.000, 0.500, 0.500], [0.500, 0.000, 0.500]]
}



Record 19
{
  "formula": "PuTiIn2",
  "functional": "GGA-PBE",
  "state": "relaxed",
  "relative_energy_mev_per_atom": 0,
  "dos_at_fermi_per_ev_atom": 1.78,
  "space_group": "P4/mmm",
  "formation_enthalpy_0k_ev_per_atom": -0.1473,
  "magnetic_moment_mub_per_fu": 5.3,
  "lattice_angstrom": [[3.076, 0.000, 0.000], [0.000, 3.076, 0.000], [0.000, 0.000, 9.307]],
  "species": ["Pu", "Ti", "In", "In"],
  "fractional_positions": [[0.000, 0.000, 0.000], [0.000, 0.000, 0.500], [0.500, 0.500, 0.275], [0.500, 0.500, 0.725]]
}



Record 20
{
  "formula": "PuTi2In",
  "functional": "GGA-PBE",
  "state": "relaxed",
  "relative_energy_mev_per_atom": 117,
  "dos_at_fermi_per_ev_atom": 1.67,
  "space_group": "R-3m",
  "formation_enthalpy_0k_ev_per_atom": 0.0958,
  "magnetic_moment_mub_per_fu": 5.1,
  "lattice_angstrom": [[1.570, 0.907, 9.492], [-1.570, 0.907, 9.492], [0.000, -1.813, 9.492]],
  "species": ["Pu", "Ti", "Ti", "In"],
  "fractional_positions": [[0.000, 0.000, 0.000], [0.251, 0.251, 0.251], [0.749, 0.749, 0.749], [0.500, 0.500, 0.500]]
}



Record 21
{
  "formula": "Pu2Ti15In2",
  "functional": "GGA-PBE",
  "state": "relaxed",
  "dos_at_fermi_per_ev_atom": 1.62,
  "space_group": "R-3m",
  "formation_enthalpy_0k_ev_per_atom": 0.2742,
  "magnetic_moment_mub_per_fu": 6.3,
  "lattice_angstrom": [[4.682, 2.703, 4.719], [-4.682, 2.703, 4.719], [0.000, -5.406, 4.719]],
  "species": ["Pu", "Pu", "Ti", "Ti", "Ti", "Ti", "Ti", "Ti", "Ti", "Ti", "Ti", "Ti", "Ti", "Ti", "Ti", "Ti", "Ti", "In", "In"],
  "fractional_positions": [[0.108, 0.108, 0.108], [0.892, 0.892, 0.892], [0.000, 0.000, 0.500], [0.000, 0.309, 0.691], [0.000, 0.500, 0.000], [0.000, 0.691, 0.309], [0.165, 0.638, 0.638], [0.309, 0.000, 0.691], [0.309, 0.691, 0.000], [0.362, 0.362, 0.835], [0.362, 0.835, 0.362], [0.500, 0.000, 0.000], [0.638, 0.165, 0.638], [0.638, 0.638, 0.165], [0.691, 0.000, 0.309], [0.691, 0.309, 0.000], [0.835, 0.362, 0.362], [0.348, 0.348, 0.348], [0.652, 0.652, 0.652]]
}



Record 22
{
  "formula": "PuTiTlIn",
  "functional": "GGA-PBE",
  "state": "relaxed",
  "dos_at_fermi_per_ev_atom": 2.56,
  "space_group": "F-43m",
  "formation_enthalpy_0k_ev_per_atom": 0.0736,
  "magnetic_moment_mub_per_fu": 6.9,
  "lattice_angstrom": [[0.000, 3.630, 3.630], [3.630, 0.000, 3.630], [3.630, 3.630, 0.000]],
  "species": ["Pu", "Ti", "Tl", "In"],
  "fractional_positions": [[0.000, 0.000, 0.000], [0.500, 0.500, 0.500], [0.750, 0.750, 0.750], [0.250, 0.250, 0.250]]
}



Record 23
{
  "formula": "PuZrTiIn",
  "functional": "GGA-PBE",
  "state": "relaxed",
  "dos_at_fermi_per_ev_atom": 2.49,
  "space_group": "F-43m",
  "formation_enthalpy_0k_ev_per_atom": 0.0176,
  "magnetic_moment_mub_per_fu": 6.9,
  "lattice_angstrom": [[0.000, 3.507, 3.507], [3.507, 0.000, 3.507], [3.507, 3.507, 0.000]],
  "species": ["Pu", "Zr", "Ti", "In"],
  "fractional_positions": [[0.000, 0.000, 0.000], [0.250, 0.250, 0.250], [0.750, 0.750, 0.750], [0.500, 0.500, 0.500]]
}



Record 24
{
  "formula": "Pu5TlIn4",
  "functional": "GGA-PBE",
  "state": "relaxed",
  "dos_at_fermi_per_ev_atom": 3.85,
  "space_group": "P4/mmm",
  "formation_enthalpy_0k_ev_per_atom": 0.3634,
  "magnetic_moment_mub_per_fu": 4.0,
  "lattice_angstrom": [[4.106, 0.000, 0.000], [0.000, 4.106, 0.000], [0.000, 0.000, 15.255]],
  "species": ["Pu", "Pu", "Pu", "Pu", "Pu", "Tl", "In", "In", "In", "In"],
  "fractional_positions": [[0.000, 0.000, 0.000], [0.000, 0.000, 0.230], [0.000, 0.000, 0.386], [0.000, 0.000, 0.614], [0.000, 0.000, 0.770], [0.500, 0.500, 0.500], [0.500, 0.500, 0.109], [0.500, 0.500, 0.306], [0.500, 0.500, 0.694], [0.500, 0.500, 0.891]]
}



Record 25
{
  "formula": "Pu2TlIn",
  "functional": "GGA-PBE",
  "state": "relaxed",
  "relative_energy_mev_per_atom": 69,
  "dos_at_fermi_per_ev_atom": 4.41,
  "space_group": "P4/mmm",
  "formation_enthalpy_0k_ev_per_atom": -0.0282,
  "magnetic_moment_mub_per_fu": 11.7,
  "lattice_angstrom": [[4.162, 0.000, 0.000], [0.000, 4.162, 0.000], [0.000, 0.000, 6.216]],
  "species": ["Pu", "Pu", "Tl", "In"],
  "fractional_positions": [[0.000, 0.000, 0.248], [0.000, 0.000, 0.752], [0.500, 0.500, 0.500], [0.500, 0.500, 0.000]]
}